Record 1
# SrCaAs, relaxed, DFT GGA-PBE
data_SrCaAs
_cell_length_a 3.853
_cell_length_b 3.853
_cell_length_c 13.704
_cell_angle_alpha 90.00
_cell_angle_beta 90.00
_cell_angle_gamma 90.00
_space_group_name_H-M_alt 'I 4 m m'
_space_group_IT_number 107
_space_group_name_Hall 'I 4 -2'
loop_
_atom_site_label
_atom_site_fract_x
_atom_site_fract_y
_atom_site_fract_z
Sr1 0.000 0.000 0.000
Ca1 0.000 0.000 0.764
As1 0.000 0.000 0.369
# ΔH_f (0 K) = -708 meV/atom
# Calculated density = 3.31 Mg/m³
# Crystal system = tetragonal
# Magnetization = 0.85 Bohr magnetons per cell

=====

Record 2
# Sr2CaAs2, relaxed, DFT GGA-PBE
data_Sr2CaAs2
_cell_length_a 8.406
_cell_length_b 8.406
_cell_length_c 4.248
_cell_angle_alpha 90.00
_cell_angle_beta 90.00
_cell_angle_gamma 90.00
_space_group_name_H-M_alt 'P 4/m b m'
_space_group_IT_number 127
_space_group_name_Hall '-P 4 2ab'
loop_
_atom_site_label
_atom_site_fract_x
_atom_site_fract_y
_atom_site_fract_z
Sr1 0.138 0.362 0.000
Ca1 0.000 0.000 0.500
As1 0.171 0.671 0.500
# ΔH_f (0 K) = -1003 meV/atom
# Calculated density = 4.04 Mg/m³
# Crystal system = tetragonal
# Magnetization = 0.00 Bohr magnetons per cell

=====

Record 3
# Sr3CaAs, relaxed, DFT GGA-PBE
data_Sr3CaAs
_cell_length_a 6.306
_cell_length_b 6.306
_cell_length_c 6.306
_cell_angle_alpha 90.00
_cell_angle_beta 90.00
_cell_angle_gamma 90.00
_space_group_name_H-M_alt 'P m -3 m'
_space_group_IT_number 221
_space_group_name_Hall '-P 4 2 3'
loop_
_atom_site_label
_atom_site_fract_x
_atom_site_fract_y
_atom_site_fract_z
Sr1 0.000 0.000 0.500
Ca1 0.000 0.000 0.000
As1 0.500 0.500 0.500
# ΔH_f (0 K) = 810 meV/atom
# Calculated density = 2.50 Mg/m³
# Crystal system = cubic
# Magnetization = 2.82 Bohr magnetons per cell

=====

Record 4
# SrCa8As6, relaxed, DFT GGA-PBE
data_SrCa8As6
_cell_length_a 8.3495
_cell_length_b 8.3495
_cell_length_c 22.0384
_cell_angle_alpha 90.00
_cell_angle_beta 90.00
_cell_angle_gamma 120.00
_space_group_name_H-M_alt 'R -3'
_space_group_IT_number 148
_space_group_name_Hall '-R 3'
loop_
_atom_site_label
_atom_site_fract_x
_atom_site_fract_y
_atom_site_fract_z
Sr1 0.0000 0.0000 0.0000
Ca1 0.0000 0.0000 0.3330
Ca2 0.0004 0.3347 0.7815
As1 0.0007 0.3374 0.9225
# ΔH_f (0 K) = -1155 meV/atom
# Calculated density = 3.21 Mg/m³
# Crystal system = trigonal
# Magnetization = 0.00 Bohr magnetons per cell